Compound: Th4Bi2AsS
Source: Alexandria
Functional: PBE
Structure: relaxed

Results
**Spin magnetization**: 0.00 μB per cell
**E**: -6.86 eV/atom
**Symmetry**: P2/m, No. 10
**E_form (uncorrected)**: -1084 meV/atom

a = 4.3321 Å, b = 7.5257 Å, c = 7.6840 Å
α = 108.99°, β = 90.00°, γ = 90.00°
Sites, in units of the cell vectors:
1 Th 0.5000 0.2288 0.2077
2 Th 0.5000 0.7712 0.7923
3 Th 0.0000 0.2544 0.7892
4 Th 0.0000 0.7456 0.2108
5 Bi 0.5000 0.0000 0.5000
6 Bi 0.0000 0.5000 0.5000
7 As 0.5000 0.5000 0.0000
8 S 0.0000 0.0000 0.0000